A plane-wave DFT calculation with PBE was carried out for a relaxed Re3AsW crystal.

a b c (Å): 4.752 4.752 4.752
angles (deg): 90.00 90.00 90.00
Space group Pm-3m (No. 221)
One atom of each set of equivalent atoms:
Re1 0.000 0.000 0.500 [3 per cell]
As1 0.500 0.500 0.500 [1 per cell]
W1 0.000 0.000 0.000 [1 per cell]

Computed properties:
Density of states at the Fermi level (states/eV/f.u.): 5.78
Crystal system: cubic
Energy above the most stable polymorph in this dataset (kJ per mole of atoms): 62.1
Formation energy from the elements (eV per atom): 2.3632
ρ (Mg/m³): 12.6